First-principles (PBE) data for a relaxed Er2LuAl crystal, as listed in Alexandria via LeMat-Bulk.

a = 4.703 Å, b = 4.703 Å, c = 4.678 Å
α = 90.00°, β = 90.00°, γ = 90.00°
Element x y z (fractional)
1 Er 0.000 0.500 0.000
2 Er 0.500 0.000 0.000
3 Lu 0.000 0.000 0.500
4 Al 0.500 0.500 0.500

Computed properties:
ρ ... 8.61 Mg/m³
Energy of formation ... -0.197 eV per atom
Offset from the most stable computed form ... 0.000 eV/atom

First-principles (PBE) data for a relaxed ErLuMgAl crystal, as listed in Alexandria via LeMat-Bulk.

a = 5.122 Å, b = 5.122 Å, c = 5.122 Å
α = 60.00°, β = 60.00°, γ = 60.00°
Element x y z (fractional)
1 Er 0.000 0.000 0.000
2 Lu 0.500 0.500 0.500
3 Mg 0.750 0.750 0.750
4 Al 0.250 0.250 0.250

Computed properties:
ρ ... 6.88 Mg/m³
Energy of formation ... -0.253 eV per atom

First-principles (PBE) data for a relaxed ErLuMnAl crystal, as listed in Alexandria via LeMat-Bulk.

a = 4.998 Å, b = 4.998 Å, c = 4.998 Å
α = 60.00°, β = 60.00°, γ = 60.00°
Element x y z (fractional)
1 Er 0.000 0.000 0.000
2 Lu 0.500 0.500 0.500
3 Mn 0.750 0.750 0.750
4 Al 0.250 0.250 0.250

Computed properties:
ρ ... 7.98 Mg/m³
Energy of formation ... -0.093 eV per atom

First-principles (PBE) data for a relaxed NdErLuAl crystal, as listed in Alexandria via LeMat-Bulk.

a = 5.354 Å, b = 5.354 Å, c = 5.354 Å
α = 60.00°, β = 60.00°, γ = 60.00°
Element x y z (fractional)
1 Nd 0.000 0.000 0.000
2 Er 0.500 0.500 0.500
3 Lu 0.250 0.250 0.250
4 Al 0.750 0.750 0.750

Computed properties:
ρ ... 7.86 Mg/m³
Energy of formation ... -0.073 eV per atom

First-principles (PBE) data for a relaxed ErLuAlNi crystal, as listed in Alexandria via LeMat-Bulk.

a = 4.890 Å, b = 4.890 Å, c = 4.890 Å
α = 60.00°, β = 60.00°, γ = 60.00°
Element x y z (fractional)
1 Er 0.000 0.000 0.000
2 Lu 0.500 0.500 0.500
3 Al 0.250 0.250 0.250
4 Ni 0.750 0.750 0.750

Computed properties:
ρ ... 8.60 Mg/m³
Energy of formation ... -0.356 eV per atom

First-principles (PBE) data for a relaxed PrErLuAl crystal, as listed in Alexandria via LeMat-Bulk.

a = 5.370 Å, b = 5.370 Å, c = 5.370 Å
α = 60.00°, β = 60.00°, γ = 60.00°
Element x y z (fractional)
1 Pr 0.000 0.000 0.000
2 Er 0.500 0.500 0.500
3 Lu 0.750 0.750 0.750
4 Al 0.250 0.250 0.250

Computed properties:
ρ ... 7.74 Mg/m³
Energy of formation ... -0.069 eV per atom

First-principles (PBE) data for a relaxed ErLuPuAl crystal, as listed in Alexandria via LeMat-Bulk.

a = 5.242 Å, b = 5.242 Å, c = 5.242 Å
α = 60.00°, β = 60.00°, γ = 60.00°
Element x y z (fractional)
1 Er 0.000 0.000 0.000
2 Lu 0.250 0.250 0.250
3 Pu 0.500 0.500 0.500
4 Al 0.750 0.750 0.750

Computed properties:
ρ ... 10.00 Mg/m³
Energy of formation ... -0.006 eV per atom

First-principles (PBE) data for a relaxed ErLuAlRu crystal, as listed in Alexandria via LeMat-Bulk.

a = 4.879 Å, b = 4.879 Å, c = 4.879 Å
α = 60.00°, β = 60.00°, γ = 60.00°
Element x y z (fractional)
1 Er 0.000 0.000 0.000
2 Lu 0.500 0.500 0.500
3 Al 0.250 0.250 0.250
4 Ru 0.750 0.750 0.750

Computed properties:
ρ ... 9.51 Mg/m³
Energy of formation ... -0.410 eV per atom

First-principles (PBE) data for a relaxed SmErLuAl crystal, as listed in Alexandria via LeMat-Bulk.

a = 5.328 Å, b = 5.328 Å, c = 5.328 Å
α = 60.00°, β = 60.00°, γ = 60.00°
Element x y z (fractional)
1 Sm 0.000 0.000 0.000
2 Er 0.500 0.500 0.500
3 Lu 0.750 0.750 0.750
4 Al 0.250 0.250 0.250

Computed properties:
ρ ... 8.07 Mg/m³
Energy of formation ... -0.077 eV per atom

First-principles (PBE) data for a relaxed ErLuAlTc crystal, as listed in Alexandria via LeMat-Bulk.

a = 4.899 Å, b = 4.899 Å, c = 4.899 Å
α = 60.00°, β = 60.00°, γ = 60.00°
Element x y z (fractional)
1 Er 0.000 0.000 0.000
2 Lu 0.500 0.500 0.500
3 Al 0.750 0.750 0.750
4 Tc 0.250 0.250 0.250

Computed properties:
ρ ... 9.33 Mg/m³
Energy of formation ... -0.216 eV per atom

First-principles (PBE) data for a relaxed ErLuTiAl crystal, as listed in Alexandria via LeMat-Bulk.

a = 5.074 Å, b = 5.074 Å, c = 5.074 Å
α = 60.00°, β = 60.00°, γ = 60.00°
Element x y z (fractional)
1 Er 0.000 0.000 0.000
2 Lu 0.500 0.500 0.500
3 Ti 0.750 0.750 0.750
4 Al 0.250 0.250 0.250

Computed properties:
ρ ... 7.50 Mg/m³
Energy of formation ... -0.062 eV per atom

First-principles (PBE) data for a relaxed YErLuAl crystal, as listed in Alexandria via LeMat-Bulk.

a = 5.301 Å, b = 5.301 Å, c = 5.301 Å
α = 60.00°, β = 60.00°, γ = 60.00°
Element x y z (fractional)
1 Y 0.000 0.000 0.000
2 Er 0.500 0.500 0.500
3 Lu 0.750 0.750 0.750
4 Al 0.250 0.250 0.250

Computed properties:
ρ ... 7.22 Mg/m³
Energy of formation ... -0.080 eV per atom